## PmPaTeSe (PBE)

Data for a relaxed PmPaTeSe crystal.

The space group is F-43m (No. 216) and the conventional cell measures 7.3810, 7.3810 and 7.3810 Å, with angles of 90.00, 90.00 and 90.00 degrees. Symmetry generates all atoms from Pm at (0.0000, 0.0000, 0.0000), Pa at (0.0000, 0.0000, 0.5000), Te at (0.2500, 0.2500, 0.7500) and Se at (0.2500, 0.2500, 0.2500).

The value obtained for the uncorrected formation energy is -1.03 eV/atom. The calculation puts the density at 9.62 g cm⁻³.

=====

## PmPaTe2Se (PBE)

Data for a relaxed PmPaTe2Se crystal.

The space group is P4/nmm (No. 129, origin choice 2) and the conventional cell measures 4.4070, 4.4070 and 14.9333 Å, with angles of 90.00, 90.00 and 90.00 degrees. Symmetry generates all atoms from Pm at (0.2500, 0.2500, 0.0862), Pa at (0.2500, 0.2500, 0.6283), Te at (0.2500, 0.2500, 0.2999), Te at (0.2500, 0.2500, 0.8712) and Se at (0.2500, 0.7500, 0.5000).

The value obtained for the uncorrected formation energy is -1.18 eV/atom. The calculation puts the density at 8.13 g cm⁻³.

=====

## PmPaTl2Se4 (PBE)

Data for a relaxed PmPaTl2Se4 crystal.

The space group is P2/m (No. 10) and the conventional cell measures 7.3073, 4.1948 and 8.2607 Å, with angles of 90.00, 106.82 and 90.00 degrees. Symmetry generates all atoms from Pm at (0.0000, 0.0000, 0.0000), Pa at (0.5000, 0.5000, 0.0000), Tl at (0.0000, 0.5000, 0.5000), Tl at (0.5000, 0.0000, 0.5000), Se at (0.2443, 0.5000, 0.2098) and Se at (0.2714, 0.0000, 0.7914).

The value obtained for the uncorrected formation energy is -1.15 eV/atom. The calculation puts the density at 7.54 g cm⁻³.